Na2AgSbCl PBE-GGA optimized geometry; ΔE_f (raw) = -6.180 kcal/mol of atoms; crystal system = tetragonal; total magnetic moment = 0.00 Bohr magnetons per cell; space-group type = P4/mmm (123)
1.0
5.8978 0.0000 0.0000
0.0000 5.8978 0.0000
0.0000 0.0000 4.9390
Na Ag Sb Cl
2 1 1 1
Direct
0.0000 0.5000 0.0000
0.5000 0.0000 0.0000
0.0000 0.0000 0.0000
0.0000 0.0000 0.5000
0.5000 0.5000 0.5000


CaHg3Pb PBE-GGA optimized geometry; energy above the most stable polymorph in this dataset = 0.00 eV per formula unit; crystal system = orthorhombic; total magnetic moment = 0.00 Bohr magnetons per cell; space-group type = Cmcm (63)
1.0
3.0908 -8.1845 0.0000
3.0908 8.1845 0.0000
0.0000 0.0000 5.6471
Ca Hg Pb
2 6 2
Direct
0.1859 0.8141 0.7500
0.8141 0.1859 0.2500
0.0000 0.0000 0.0000
0.0000 0.0000 0.5000
0.1087 0.4039 0.7500
0.4039 0.1087 0.2500
0.5961 0.8913 0.7500
0.8913 0.5961 0.2500
0.4326 0.5674 0.2500
0.5674 0.4326 0.7500